[1]
Entry from the Alexandria database: a relaxed Ho4Co2Cu5 crystal (PBE).

formation energy from the elements = -0.210 eV/atom

Cell lengths 3.942, 6.648, 7.655 Å; angles 92.72, 90.00, 90.00 degrees
Atoms (fractional coordinates):
Ho 0.500 0.780 0.140
Ho 0.500 0.759 0.604
Ho 0.500 0.241 0.396
Ho 0.500 0.220 0.860
Cu 0.000 0.556 0.341
Cu 0.000 0.855 0.877
Cu 0.000 0.500 0.000
Cu 0.000 0.145 0.123
Cu 0.000 0.444 0.659
Co 0.000 0.927 0.366
Co 0.000 0.073 0.634

***

[2]
Entry from the Alexandria database: a relaxed As4OsSe crystal (PBE).

formation energy from raw total energies = 1.123 eV/atom

Cell lengths 5.435, 5.435, 5.435 Å; angles 60.00, 60.00, 60.00 degrees
Atoms (fractional coordinates):
Os 0.750 0.750 0.750
Se 0.000 0.000 0.000
As 0.374 0.374 0.374
As 0.374 0.374 0.877
As 0.374 0.877 0.374
As 0.877 0.374 0.374

***

[3]
Entry from the Alexandria database: a relaxed Tl5In2Pb3 crystal (PBE).

formation energy from the elements = 0.064 eV/atom

Cell lengths 6.275, 9.301, 12.933 Å; angles 111.07, 115.47, 90.00 degrees
Atoms (fractional coordinates):
Tl 0.183 0.850 0.695
Tl 0.817 0.150 0.305
Tl 0.198 0.565 0.438
Tl 0.683 0.846 0.695
Tl 0.302 0.127 0.562
Tl 0.250 0.431 0.000
Tl 0.317 0.154 0.305
Tl 0.750 0.569 0.000
Tl 0.802 0.435 0.562
Tl 0.698 0.873 0.438
In 0.927 0.330 0.142
In 0.573 0.188 0.858
In 0.427 0.812 0.142
In 0.073 0.670 0.858
Pb 0.439 0.525 0.719
Pb 0.561 0.475 0.281
Pb 0.939 0.194 0.719
Pb 0.061 0.806 0.281
Pb 0.250 0.069 0.000
Pb 0.750 0.931 0.000

***

[4]
Entry from the Alexandria database: a relaxed CrCoNi6 crystal (PBE).

formation energy from the elements = 0.114 eV/atom
relative energy among the computed polymorphs = 0.105 eV per atom

Cell lengths 6.308, 6.323, 4.468 Å; angles 44.97, 45.12, 60.04 degrees
Atoms (fractional coordinates):
Ni 0.750 0.000 0.748
Ni 0.001 0.501 0.248
Ni 0.500 0.750 0.750
Ni 0.999 0.499 0.752
Ni 0.250 0.000 0.252
Ni 0.500 0.250 0.250
Cr 0.000 0.000 0.000
Co 0.500 0.500 0.500

***

[5]
Entry from the Alexandria database: a relaxed CaTaGa2 crystal (PBE).

formation energy from the elements = 0.448 eV/atom

Cell lengths 4.724, 4.724, 9.706 Å; angles 75.92, 75.92, 90.00 degrees
Atoms (fractional coordinates):
Ga 0.375 0.258 0.750
Ga 0.008 0.625 0.250
Ga 0.742 0.125 0.250
Ga 0.875 0.992 0.750
Ta 0.750 0.250 0.500
Ta 0.000 0.000 0.000
Ca 0.500 0.500 0.000
Ca 0.250 0.750 0.500

***

[6]
Entry from the Alexandria database: a relaxed BeCrAs2Br crystal (PBE).

formation energy from raw total energies = 0.557 eV/atom
relative energy among the computed polymorphs = 0.000 eV per atom

Cell lengths 4.373, 4.373, 5.340 Å; angles 90.00, 90.00, 90.00 degrees
Atoms (fractional coordinates):
Br 0.000 0.000 0.500
As 0.000 0.500 0.000
As 0.500 0.000 0.000
Cr 0.500 0.500 0.500
Be 0.000 0.000 0.000

***

[7]
Entry from the Alexandria database: a relaxed Ce3Zn2In3 crystal (PBE).

formation energy from the elements = -0.273 eV/atom

Cell lengths 3.316, 8.330, 8.330 Å; angles 120.00, 90.00, 90.00 degrees
Atoms (fractional coordinates):
Ce 0.500 0.591 0.000
Ce 0.500 0.000 0.591
Ce 0.500 0.409 0.409
Zn 0.000 0.333 0.667
Zn 0.000 0.667 0.333
In 0.000 0.224 0.000
In 0.000 0.000 0.224
In 0.000 0.776 0.776

***

[8]
Entry from the Alexandria database: a relaxed SrAc2Ti crystal (PBE).

formation energy from the elements = 0.373 eV/atom

Cell lengths 3.890, 3.890, 12.098 Å; angles 80.75, 80.75, 60.00 degrees
Atoms (fractional coordinates):
Ac 0.735 0.735 0.796
Ac 0.265 0.265 0.204
Ti 0.000 0.000 0.000
Sr 0.500 0.500 0.500

***

[9]
Entry from the Alexandria database: a relaxed Ac2TmGa2 crystal (PBE).

formation energy from the elements = -0.402 eV/atom

Cell lengths 4.740, 6.362, 6.362 Å; angles 63.31, 68.26, 68.26 degrees
Atoms (fractional coordinates):
Ga 0.000 0.214 0.286
Ga 0.000 0.786 0.714
Ac 0.699 0.800 0.300
Ac 0.301 0.200 0.700
Tm 0.500 0.500 0.000

***

[10]
Entry from the Alexandria database: a relaxed La2AuCl crystal (PBE).

formation energy from raw total energies = -0.989 eV/atom
relative energy among the computed polymorphs = 0.209 eV per atom

Cell lengths 5.407, 5.407, 5.416 Å; angles 128.16, 112.05, 90.30 degrees
Atoms (fractional coordinates):
Cl 0.250 0.750 0.500
La 0.011 0.011 0.000
La 0.489 0.489 0.000
Au 0.750 0.250 0.500

***

[11]
Entry from the Alexandria database: a relaxed Sb2RhIO crystal (PBE).

formation energy from raw total energies = 0.380 eV/atom
relative energy among the computed polymorphs = 0.000 eV per atom

Cell lengths 4.456, 4.456, 5.650 Å; angles 90.00, 90.00, 90.00 degrees
Atoms (fractional coordinates):
Sb 0.500 0.000 0.000
Sb 0.000 0.500 0.000
Rh 0.500 0.500 0.500
O 0.000 0.000 0.000
I 0.000 0.000 0.500

***

[12]
Entry from the Alexandria database: a relaxed GeHN2 crystal (PBE).

relative energy among the computed polymorphs = 0.428 eV per atom

Cell lengths 4.106, 4.106, 5.196 Å; angles 66.73, 66.73, 90.00 degrees
Atoms (fractional coordinates):
Ge 0.000 0.000 0.000
Ge 0.750 0.250 0.500
N 0.875 0.847 0.750
N 0.153 0.625 0.250
N 0.375 0.403 0.750
N 0.597 0.125 0.250
H 0.250 0.750 0.500
H 0.500 0.500 0.000